1.
Material: Mn2ReBr
Method: DFT, PBE
State: optimized geometry

The formation energy without anion corrections is 0.923 eV/atom. The calculated total energy comes out at -7.192 eV per atom. For the energy above the most stable polymorph in this dataset, the calculation gives 229 kJ/mol of formula units.

The structure belongs to space group Immm (No. 71); the cell edges are 2.997, 4.711 and 8.534 Å and the angles 90.00°, 90.00° and 90.00°. The inequivalent atoms are Mn at (0.000, 0.000, 0.247), Re at (0.000, 0.500, 0.000) and Br at (0.000, 0.500, 0.500).

2.
Material: MnRe2Br
Method: DFT, PBE
State: optimized geometry

The formation energy without anion corrections is 1.084 eV/atom. The calculated total energy comes out at -7.851 eV per atom. For the energy above the most stable polymorph in this dataset, the calculation gives 266 kJ/mol of formula units.

The structure belongs to space group P4/mmm (No. 123); the cell edges are 4.452, 4.452 and 2.986 Å and the angles 90.00°, 90.00° and 90.00°. The inequivalent atoms are Mn at (0.000, 0.000, 0.000), Re at (0.000, 0.500, 0.500) and Br at (0.500, 0.500, 0.000).

3.
Material: Mn3ReBr
Method: DFT, PBE
State: optimized geometry

The formation energy without anion corrections is 1.190 eV/atom. The calculated total energy comes out at -7.136 eV per atom. For the energy above the most stable polymorph in this dataset, the calculation gives 0 kJ/mol of formula units.

The structure belongs to space group Pm-3m (No. 221); the cell edges are 4.837, 4.837 and 4.837 Å and the angles 90.00°, 90.00° and 90.00°. The inequivalent atoms are Mn at (0.000, 0.000, 0.500), Re at (0.000, 0.000, 0.000) and Br at (0.500, 0.500, 0.500).

4.
Material: MnRe2Br
Method: DFT, PBE
State: optimized geometry

The formation energy without anion corrections is 0.690 eV/atom. The calculated total energy comes out at -8.244 eV per atom. For the energy above the most stable polymorph in this dataset, the calculation gives 114 kJ/mol of formula units.

The structure belongs to space group Cmm2 (No. 35); the cell edges are 3.067, 4.787 and 9.527 Å and the angles 90.00°, 90.00° and 90.00°. The inequivalent atoms are Mn at (0.000, 0.000, 0.000), Re at (0.000, 0.000, 0.438), Re at (0.000, 0.500, 0.223) and Br at (0.000, 0.500, 0.783).

5.
Material: Mn2ReBr
Method: DFT, PBE
State: optimized geometry

The formation energy without anion corrections is 0.613 eV/atom. The calculated total energy comes out at -7.502 eV per atom. For the energy above the most stable polymorph in this dataset, the calculation gives 109 kJ/mol of formula units.

The structure belongs to space group Imm2 (No. 44); the cell edges are 3.035, 3.851 and 12.499 Å and the angles 90.00°, 90.00° and 90.00°. The inequivalent atoms are Mn at (0.000, 0.000, 0.000), Mn at (0.000, 0.500, 0.125), Re at (0.000, 0.500, 0.671) and Br at (0.000, 0.000, 0.363).

6.
Material: Mn2ReBr
Method: DFT, PBE
State: optimized geometry

The formation energy without anion corrections is 0.700 eV/atom. The calculated total energy comes out at -7.415 eV per atom. For the energy above the most stable polymorph in this dataset, the calculation gives 143 kJ/mol of formula units.

The structure belongs to space group Cmm2 (No. 35); the cell edges are 3.066, 4.807 and 9.118 Å and the angles 90.00°, 90.00° and 90.00°. The inequivalent atoms are Mn at (0.000, 0.000, 0.000), Mn at (0.000, 0.500, 0.229), Re at (0.000, 0.000, 0.431) and Br at (0.000, 0.500, 0.774).